No. 1
A plane-wave DFT calculation with PBE was carried out for a relaxed structure of Nd2Ho4Ge3O2.

The space group is I4/mmm (No. 139) and the conventional cell measures 4.5491, 4.5491 and 24.1015 Å, with angles of 90.00, 90.00 and 90.00 degrees. The asymmetric unit holds Nd at (0.0000, 0.0000, 0.1978), Ho at (0.0000, 0.5000, 0.0794), Ge at (0.0000, 0.0000, 0.3283), Ge at (0.0000, 0.0000, 0.5000) and O at (0.0000, 0.0000, 0.0909).

The raw formation energy comes out at -1588.6 meV per atom. The calculation puts the spin magnetization at 0.04 Bohr magnetons per cell. For the density of states at the Fermi level, the calculation gives 8.2 states/eV/f.u. The energy comes out at -6.28 eV per atom.

---

No. 2
A plane-wave DFT calculation with PBE was carried out for a relaxed structure of Ga6CuBr12.

The space group is R-3 (No. 148, hexagonal axes) and the conventional cell measures 18.1258, 18.1258 and 9.8175 Å, with angles of 90.00, 90.00 and 120.00 degrees. The asymmetric unit holds Ga at (0.0157, 0.1289, 0.3976), Cu at (0.0000, 0.0000, 0.5000), Br at (0.0245, 0.1543, 0.1660) and Br at (0.0823, 0.5619, 0.1752).

The raw formation energy comes out at -610.6 meV per atom. The calculation puts the spin magnetization at 1.82 Bohr magnetons per cell. For the density of states at the Fermi level, the calculation gives 5.8 states/eV/f.u. The energy comes out at -2.84 eV per atom.

---

No. 3
A plane-wave DFT calculation with PBE was carried out for a relaxed structure of Dy3Zn4Ni4.

The space group is Immm (No. 71) and the conventional cell measures 3.9822, 7.0347 and 13.4624 Å, with angles of 90.00, 90.00 and 90.00 degrees. The asymmetric unit holds Dy at (0.0000, 0.0000, 0.0000), Dy at (0.0000, 0.5000, 0.1271), Zn at (0.0000, 0.3091, 0.3294), Ni at (0.0000, 0.0000, 0.2198) and Ni at (0.0000, 0.1749, 0.5000).

As for the relative energy among the computed polymorphs: 0 meV per atom. The energy of formation from the pure elements comes out at -0.40 eV/atom. The calculation puts the spin magnetization at 0.00 Bohr magnetons per cell. For the density of states at the Fermi level, the calculation gives 6.6 states/eV/f.u. The energy comes out at -4.22 eV per atom.

---

No. 4
A plane-wave DFT calculation with PBE was carried out for a relaxed structure of LaGa2TcGe.

The space group is P4/mmm (No. 123) and the conventional cell measures 4.8042, 4.8042 and 4.7810 Å, with angles of 90.00, 90.00 and 90.00 degrees. The asymmetric unit holds La at (0.0000, 0.0000, 0.0000), Ga at (0.0000, 0.5000, 0.5000), Tc at (0.5000, 0.5000, 0.5000) and Ge at (0.5000, 0.5000, 0.0000).

The energy of formation from the pure elements comes out at -0.36 eV/atom. The calculation puts the spin magnetization at 0.00 Bohr magnetons per cell. For the density of states at the Fermi level, the calculation gives 1.5 states/eV/f.u. The energy comes out at -5.55 eV per atom.

---

No. 5
A plane-wave DFT calculation with PBE was carried out for a relaxed structure of DyBiPb2.

The space group is R-3m (No. 166, hexagonal axes) and the conventional cell measures 3.5029, 3.5029 and 36.7467 Å, with angles of 90.00, 90.00 and 120.00 degrees. The asymmetric unit holds Dy at (0.0000, 0.0000, 0.0000), Bi at (0.0000, 0.0000, 0.5000) and Pb at (0.0000, 0.0000, 0.0864).

The energy of formation from the pure elements comes out at 0.15 eV/atom. The calculation puts the spin magnetization at 0.00 Bohr magnetons per cell. For the density of states at the Fermi level, the calculation gives 3.3 states/eV/f.u. The energy comes out at -3.83 eV per atom.

---

No. 6
A plane-wave DFT calculation with PBE was carried out for a relaxed structure of FeCoIr2.

The space group is I4/mmm (No. 139) and the conventional cell measures 3.7758, 3.7758 and 7.2110 Å, with angles of 90.00, 90.00 and 90.00 degrees. The asymmetric unit holds Fe at (0.0000, 0.0000, 0.0000), Co at (0.0000, 0.0000, 0.5000) and Ir at (0.0000, 0.5000, 0.2500).

The energy of formation from the pure elements comes out at -0.02 eV/atom. The calculation puts the spin magnetization at 5.94 Bohr magnetons per cell. For the density of states at the Fermi level, the calculation gives 4.6 states/eV/f.u. The energy comes out at -8.34 eV per atom.